[1]
A geometry-optimized LiCo3 structure. Source: the Alexandria database, functional PBE.

Output
Space-group type: No. 12
Magnetization, μB/f.u.: 4.71
ΔH_f (0 K), kJ per mole of atoms: 12.3

abc: 4.3925 4.3925 4.3486
angles: 79.96 79.96 32.64
Closest atoms and distances in Å follow each position.
Positions (direct):
Co  0.7610  0.7610  0.7408  9 Co 2.43-2.60, 3 Li 2.48-2.59
Co  0.5000  0.5000  0.5000  8 Co 2.43-2.60, 4 Li 2.50
Co  0.2390  0.2390  0.2592  9 Co 2.43-2.60, 3 Li 2.48-2.59
Li  0.0000  0.0000  0.0000  2 Li 2.47, 10 Co 2.48-2.59

[2]
A geometry-optimized LiCo2 structure. Source: the Alexandria database, functional PBE.

Output
Space-group type: No. 141
Magnetization, μB/f.u.: 3.38
ΔH_f (0 K), kJ per mole of atoms: 54.7

abc: 8.1890 8.1890 8.1890
angles: 157.88 157.88 31.48
Closest atoms and distances in Å follow each position.
Positions (direct):
Co  0.5766  0.5766  0.0000  3 Co 2.19-2.42
Co  0.1734  0.6734  0.5000  3 Co 2.19-2.42
Co  0.4234  0.4234  0.0000  3 Co 2.19-2.42
Co  0.3266  0.8266  0.5000  3 Co 2.19-2.42
Li  0.0000  0.0000  0.0000  8 Co 2.53
Li  0.7500  0.2500  0.5000  8 Co 2.53

[3]
A geometry-optimized LiCo3 structure. Source: the Alexandria database, functional PBE.

Output
Space-group type: No. 166
Magnetization, μB/f.u.: 4.80
ΔH_f (0 K), kJ per mole of atoms: 11.4

abc: 4.6731 4.6731 4.6731
angles: 117.12 117.12 117.12
Closest atoms and distances in Å follow each position.
Positions (direct):
Li  0.5000  0.5000  0.0000  2 Li 2.41, 6 Co 2.44
Co  0.5000  0.0000  0.5000  6 Co 2.41-2.44, 2 Li 2.44
Co  0.0000  0.5000  0.5000  6 Co 2.41-2.44, 2 Li 2.44
Co  0.0000  0.0000  0.0000  6 Co 2.41-2.44, 2 Li 2.44

[4]
A geometry-optimized Li5Co24 structure. Source: the Alexandria database, functional PBE.

Output
Space-group type: No. 217
Magnetization, μB/f.u.: 38.43
ΔH_f (0 K), kJ per mole of atoms: 6.5

abc: 7.5305 7.5305 7.5305
angles: 109.47 109.47 109.47
Closest atoms and distances in Å follow each position.
Positions (direct):
Li  0.0000  0.0000  0.6404  9 Co 2.49-2.65, 1 Li 2.71
Li  0.6404  0.0000  0.0000  9 Co 2.49-2.65, 1 Li 2.71
Li  0.3596  0.3596  0.3596  9 Co 2.49-2.65, 1 Li 2.71
Li  0.0000  0.0000  0.0000  4 Li 2.71, 12 Co 2.73
Li  0.0000  0.6404  0.0000  9 Co 2.49-2.65, 1 Li 2.71
Co  0.2814  0.6010  0.6010  5 Co 2.30-2.54, 1 Li 2.49
Co  0.1912  0.3775  0.0000  6 Co 2.29-2.45
Co  0.1912  0.0000  0.3775  6 Co 2.29-2.45
Co  0.3196  0.3196  0.7186  5 Co 2.30-2.54, 1 Li 2.49
Co  0.3775  0.0000  0.1912  6 Co 2.29-2.45
Co  0.6010  0.6010  0.2814  5 Co 2.30-2.54, 1 Li 2.49
Co  0.8088  0.1864  0.8088  6 Co 2.29-2.45
Co  0.8136  0.6225  0.6225  6 Co 2.29-2.45
Co  0.6804  0.3990  0.0000  5 Co 2.30-2.54, 1 Li 2.49
Co  0.3990  0.0000  0.6804  5 Co 2.30-2.54, 1 Li 2.49
Co  0.3990  0.6804  0.0000  5 Co 2.30-2.54, 1 Li 2.49
Co  0.8088  0.8088  0.1864  6 Co 2.29-2.45
Co  0.3775  0.1912  0.0000  6 Co 2.29-2.45
Co  0.6010  0.2814  0.6010  5 Co 2.30-2.54, 1 Li 2.49
Co  0.0000  0.6804  0.3991  5 Co 2.30-2.54, 1 Li 2.49
Co  0.0000  0.1912  0.3775  6 Co 2.29-2.45
Co  0.0000  0.3775  0.1912  6 Co 2.29-2.45
Co  0.3196  0.7186  0.3196  5 Co 2.30-2.54, 1 Li 2.49
Co  0.6225  0.8136  0.6225  6 Co 2.29-2.45
Co  0.6225  0.6225  0.8136  6 Co 2.29-2.45
Co  0.6804  0.0000  0.3991  5 Co 2.30-2.54, 1 Li 2.49
Co  0.1864  0.8088  0.8088  6 Co 2.29-2.45
Co  0.7186  0.3196  0.3196  5 Co 2.30-2.54, 1 Li 2.49
Co  0.0000  0.3990  0.6804  5 Co 2.30-2.54, 1 Li 2.49